Density functional theory data (GGA+U) for SrFeIrO6 after structural relaxation.

Cell: 5.255 5.255 5.356 Å, 90.00 90.00 120.00°
Element x y z (fractional)
Sr (0.000, 0.000, 0.000)
Fe (0.333, 0.667, 0.500)
Ir (0.667, 0.333, 0.500)
O (0.383, 0.013, 0.701)
O (0.383, 0.370, 0.299)
O (0.630, 0.013, 0.299)
O (0.630, 0.617, 0.701)
O (0.987, 0.370, 0.701)
O (0.987, 0.617, 0.299)

Output
Its symmetry is P312 (149). For the total magnetic moment, the calculation gives 3.05 μB per formula unit. Its calculated total energy is -6.466 eV/atom.